Material: CaTa2Br
Method: DFT, PBE-GGA
State: relaxed

```
CaTa2Br
1.0
5.018 -1.559 0.000
5.018 1.559 0.000
-2.444 0.000 5.673
Ca Ta Br
1 2 1
direct
0.000 0.000 0.000
0.344 0.344 0.471
0.645 0.645 0.587
0.748 0.748 0.064
```

Properties
Electronic total energy ... -26.1 eV per formula unit
Symmetry ... No. 8
D(E_F) ... 0.93 states/eV/atom

***

Material: Ca3TaBr
Method: DFT, PBE-GGA
State: relaxed

```
Ca3TaBr
1.0
5.681 0.000 0.000
0.000 5.681 0.000
0.000 0.000 5.681
Ca Ta Br
3 1 1
direct
0.000 0.000 0.500
0.000 0.500 0.000
0.500 0.000 0.000
0.000 0.000 0.000
0.500 0.500 0.500
```

Properties
Electronic total energy ... -15.8 eV per formula unit
Symmetry ... No. 221
D(E_F) ... 1.69 states/eV/atom

***

Material: Ca2TaBr
Method: DFT, PBE-GGA
State: relaxed

```
Ca2TaBr
1.0
5.972 -1.648 0.000
5.972 1.648 0.000
-1.680 0.000 5.462
Ca Ta Br
2 1 1
direct
0.000 0.000 0.000
0.198 0.198 0.627
0.447 0.447 0.482
0.767 0.767 0.182
```

Properties
Electronic total energy ... -16.9 eV per formula unit
Symmetry ... No. 8
D(E_F) ... 1.16 states/eV/atom

***

Material: CaTaBr
Method: DFT, PBE-GGA
State: relaxed

```
CaTaBr
1.0
3.645 0.000 0.000
0.000 3.645 0.000
0.000 0.000 12.306
Ca Ta Br
2 2 2
direct
0.250 0.250 0.226
0.750 0.750 0.774
0.250 0.250 0.960
0.750 0.750 0.040
0.250 0.250 0.649
0.750 0.750 0.351
```

Properties
Electronic total energy ... -17.4 eV per formula unit
Symmetry ... No. 129
D(E_F) ... 0.58 states/eV/atom

***

Material: Ca2TaBr
Method: DFT, PBE-GGA
State: relaxed

```
Ca2TaBr
1.0
0.000 3.883 3.883
3.883 0.000 3.883
3.883 3.883 0.000
Ca Ta Br
2 1 1
direct
0.250 0.250 0.250
0.750 0.750 0.750
0.000 0.000 0.000
0.500 0.500 0.500
```

Properties
Electronic total energy ... -15.2 eV per formula unit
Symmetry ... No. 225
D(E_F) ... 1.01 states/eV/atom

***

Material: CaTa2Br
Method: DFT, PBE-GGA
State: relaxed

```
CaTa2Br
1.0
3.077 0.000 0.000
0.000 3.077 0.000
0.000 0.000 9.005
Ca Ta Br
1 2 1
direct
0.000 0.000 0.000
0.500 0.500 0.296
0.500 0.500 0.704
0.000 0.000 0.500
```

Properties
Electronic total energy ... -24.1 eV per formula unit
Symmetry ... No. 123
D(E_F) ... 1.17 states/eV/atom

***

Material: CaTa2Br
Method: DFT, PBE-GGA
State: relaxed

```
CaTa2Br
1.0
5.252 0.000 0.000
0.000 5.252 0.000
0.000 0.000 3.099
Ca Ta Br
1 2 1
direct
0.000 0.000 0.000
0.000 0.500 0.500
0.500 0.000 0.500
0.500 0.500 0.000
```

Properties
Electronic total energy ... -22.4 eV per formula unit
Symmetry ... No. 123
D(E_F) ... 1.42 states/eV/atom

***

Material: CaTa2Br
Method: DFT, PBE-GGA
State: relaxed

```
CaTa2Br
1.0
3.514 0.000 0.000
0.000 3.514 0.000
0.000 0.000 8.511
Ca Ta Br
1 2 1
direct
0.000 0.000 0.000
0.000 0.000 0.395
0.500 0.500 0.273
0.500 0.500 0.804
```

Properties
Electronic total energy ... -27.1 eV per formula unit
Symmetry ... No. 99
D(E_F) ... 0.73 states/eV/atom

***

Material: Ca2TaBr
Method: DFT, PBE-GGA
State: relaxed

```
Ca2TaBr
1.0
5.754 0.000 0.000
0.000 5.754 0.000
0.000 0.000 3.300
Ca Ta Br
2 1 1
direct
0.000 0.500 0.000
0.500 0.000 0.000
0.000 0.000 0.500
0.500 0.500 0.500
```

Properties
Electronic total energy ... -16.8 eV per formula unit
Symmetry ... No. 123
D(E_F) ... 1.01 states/eV/atom

***

Material: CaTa2Br
Method: DFT, PBE-GGA
State: relaxed

```
CaTa2Br
1.0
3.253 0.000 0.000
0.000 6.294 0.000
-0.095 0.000 4.606
Ca Ta Br
1 2 1
direct
0.000 0.000 0.000
0.262 0.500 0.226
0.738 0.500 0.774
0.500 0.000 0.500
```

Properties
Electronic total energy ... -26.0 eV per formula unit
Symmetry ... No. 10
D(E_F) ... 0.91 states/eV/atom

***

Material: Ca2TaBr
Method: DFT, PBE-GGA
State: relaxed

```
Ca2TaBr
1.0
3.318 0.000 0.000
0.000 3.318 0.000
0.000 0.000 9.968
Ca Ta Br
2 1 1
direct
0.000 0.000 0.000
0.500 0.500 0.330
0.000 0.000 0.555
0.500 0.500 0.814
```

Properties
Electronic total energy ... -16.5 eV per formula unit
Symmetry ... No. 99
D(E_F) ... 0.43 states/eV/atom

***

Material: CaTaBr
Method: DFT, PBE-GGA
State: relaxed

```
CaTaBr
1.0
3.412 0.000 0.000
-1.706 2.955 0.000
0.000 0.000 7.043
Ca Ta Br
1 1 1
direct
0.000 0.000 0.000
0.333 0.667 0.348
0.667 0.333 0.622
```

Properties
Electronic total energy ... -15.1 eV per formula unit
Symmetry ... No. 156
D(E_F) ... 0.16 states/eV/atom

***

Calculated relative energy among the computed polymorphs (kcal/mol of atoms), listed in the same order as above: 6.98, 6.77, 7.82, 0.00, 17.22, 18.50, 28.72, 1.16, 8.38, 7.62, 9.90, 17.53
Calculated ΔE_f (raw) (eV/atom), listed in the same order as above: 0.31, 0.74, 0.17, -0.63, 0.58, 0.81, 1.25, 0.06, 0.19, 0.34, 0.26, 0.14